# 1
This record from the Alexandria database describes a relaxed Zn2Cu2Pd crystal. The functional is PBE-GGA.

Cell and atoms, written as POSCAR:
```
Zn2Cu2Pd
1.0
1.379 -9.333 0.000
1.379 9.333 0.000
0.000 0.000 2.717
Zn Cu Pd
2 2 1
Cartesian
1.379 7.468 0.000
1.379 -7.468 0.000
1.379 3.626 1.358
1.379 -3.626 1.358
1.379 0.000 1.358
```

Output
mass density	8.65	g cm⁻³
magnetic moment	0.000	μB per formula unit
DFT total energy	-3.32	eV/atom
ΔE_f	-135	meV per atom
space-group type	Cmmm (65)

# 2
This record from the Alexandria database describes a relaxed Ta4ZnIr5 crystal. The functional is PBE-GGA.

Cell and atoms, written as POSCAR:
```
Ta4ZnIr5
1.0
2.914 0.000 0.000
0.000 2.914 0.000
0.000 0.000 18.583
Ta Zn Ir
4 1 5
Cartesian
0.000 0.000 1.914
0.000 0.000 5.758
0.000 0.000 12.825
0.000 0.000 16.669
0.000 0.000 9.291
1.457 1.457 0.000
1.457 1.457 3.841
1.457 1.457 7.564
1.457 1.457 11.019
1.457 1.457 14.742
```

Output
mass density	18.42	g cm⁻³
magnetic moment	0.000	μB per formula unit
DFT total energy	-9.84	eV/atom
ΔE_f	-537	meV per atom
space-group type	P4/mmm (123)

# 3
This record from the Alexandria database describes a relaxed Tm3Sc5As8 crystal. The functional is PBE-GGA.

Cell and atoms, written as POSCAR:
```
Tm3Sc5As8
1.0
3.952 2.282 6.449
-3.952 2.282 6.449
0.000 -4.563 6.449
Tm Sc As
3 5 8
Cartesian
-1.976 -1.141 6.449
-1.976 1.141 12.898
0.000 2.282 6.449
0.000 0.000 0.000
-3.952 0.000 9.673
-1.976 1.141 3.224
1.976 1.141 3.224
0.000 0.000 9.673
-2.006 -1.158 11.236
0.000 0.000 4.761
0.000 -2.316 8.110
-2.006 1.158 8.110
2.006 -1.158 11.236
0.000 2.317 11.236
0.000 0.000 14.585
2.006 1.158 8.110
```

Output
mass density	6.34	g cm⁻³
magnetic moment	0.000	μB per formula unit
DFT total energy	-6.56	eV/atom
ΔE_f	-1415	meV per atom
space-group type	R-3m (166)

# 4
This record from the Alexandria database describes a relaxed CsScAgCl5 crystal. The functional is PBE-GGA.

Cell and atoms, written as POSCAR:
```
CsScAgCl5
1.0
4.367 -6.228 0.000
4.367 6.228 0.000
-3.212 0.000 9.250
Cs Sc Ag Cl
2 2 2 10
Cartesian
1.958 4.217 6.938
3.564 -4.217 2.313
4.367 0.000 0.000
2.761 0.000 4.625
3.564 3.928 2.313
1.958 -3.928 6.938
-1.174 0.746 8.675
2.241 2.323 3.885
0.432 -0.746 4.049
4.888 2.323 0.740
1.958 0.674 6.938
3.564 -0.674 2.313
0.635 -2.323 8.510
5.091 0.746 5.201
3.282 -2.323 5.365
6.697 -0.746 0.576
```

Output
mass density	3.06	g cm⁻³
magnetic moment	0.000	μB per formula unit
DFT total energy	-4.10	eV/atom
formation energy from raw total energies	-38.9	kcal/mol of atoms
space-group type	C2/c (15)

# 5
This record from the Alexandria database describes a relaxed La2TbPrTl2 crystal. The functional is PBE-GGA.

Cell and atoms, written as POSCAR:
```
La2TbPrTl2
1.0
5.229 0.000 0.000
0.000 10.400 0.000
0.000 0.000 6.999
La Tb Pr Tl
4 2 2 4
Cartesian
0.000 0.627 0.000
0.000 9.773 3.500
2.614 1.830 1.608
2.614 8.570 5.107
0.000 3.174 4.120
0.000 7.226 0.620
2.614 4.736 6.116
2.614 5.664 2.617
0.000 3.989 0.976
0.000 6.411 4.476
2.614 1.514 4.974
2.614 8.886 1.475
```

Output
mass density	8.61	g cm⁻³
magnetic moment	0.000	μB per formula unit
DFT total energy	-4.29	eV/atom
ΔE_f	-289	meV per atom
space-group type	Pmc2_1 (26)

# 6
This record from the Alexandria database describes a relaxed CdSi2W crystal. The functional is PBE-GGA.

Cell and atoms, written as POSCAR:
```
CdSi2W
1.0
-3.040 3.040 5.391
3.040 -3.040 5.391
3.040 3.040 -5.391
Cd Si W
2 4 2
Cartesian
0.000 0.000 0.000
0.000 3.040 2.695
1.520 -1.281 4.043
1.759 1.520 1.348
1.520 4.322 -1.348
1.281 1.520 6.739
3.040 0.000 2.695
0.000 0.000 5.391
```

Output
mass density	5.87	g cm⁻³
magnetic moment	0.000	μB per formula unit
DFT total energy	-5.24	eV/atom
formation energy from raw total energies	21.7	kcal/mol of atoms
space-group type	I-42d (122)

Q: Among the records above, which one has the highest DFT total energy?
A: Zn2Cu2Pd

Please write out number 3 again, unchanged.
This record from the Alexandria database describes a relaxed Tm3Sc5As8 crystal. The functional is PBE-GGA.

Cell and atoms, written as POSCAR:
```
Tm3Sc5As8
1.0
3.952 2.282 6.449
-3.952 2.282 6.449
0.000 -4.563 6.449
Tm Sc As
3 5 8
Cartesian
-1.976 -1.141 6.449
-1.976 1.141 12.898
0.000 2.282 6.449
0.000 0.000 0.000
-3.952 0.000 9.673
-1.976 1.141 3.224
1.976 1.141 3.224
0.000 0.000 9.673
-2.006 -1.158 11.236
0.000 0.000 4.761
0.000 -2.316 8.110
-2.006 1.158 8.110
2.006 -1.158 11.236
0.000 2.317 11.236
0.000 0.000 14.585
2.006 1.158 8.110
```

Output
mass density	6.34	g cm⁻³
magnetic moment	0.000	μB per formula unit
DFT total energy	-6.56	eV/atom
ΔE_f	-1415	meV per atom
space-group type	R-3m (166)

Q: magnetic moment of number 1 (Zn2Cu2Pd)?
A: 0.000 μB per formula unit